PmVGe2O8, relaxed, DFT PBE with a Hubbard U; energy = -82.807 eV/f.u.
1.0
-3.689 3.692 -2.507
-1.190 -5.601 -0.859
-0.325 0.924 5.706
Pm V Ge O
1 1 2 8
direct
0.000 0.000 0.000
0.250 0.750 0.500
0.750 0.250 0.500
0.500 0.500 0.000
0.368 0.038 0.331
0.320 0.521 0.202
0.320 0.118 0.798
0.707 0.038 0.669
0.882 0.680 0.202
0.962 0.293 0.331
0.962 0.632 0.669
0.479 0.680 0.798